## TbZnHg6 (PBE-GGA)

Data for TbZnHg6 after structural relaxation.

```
TbZnHg6
1.0
3.1603 1.8246 7.7512
-3.1603 1.8246 7.7512
0.0000 -3.6493 7.7512
Tb Zn Hg
1 1 6
direct
0.0000 0.0000 0.0000
0.5000 0.5000 0.5000
0.0703 0.0703 0.5530
0.0703 0.5530 0.0703
0.4470 0.9297 0.9297
0.5530 0.0703 0.0703
0.9297 0.4470 0.9297
0.9297 0.9297 0.4470
```

Calculated values
* DFT formation energy: 0.14 eV/atom
* symmetry: No. 166


## Ag2Pb (PBE-GGA)

Data for Ag2Pb after structural relaxation.

```
Ag2Pb
1.0
4.0128 0.0000 0.0000
0.0000 4.0128 0.0000
0.0000 0.0000 4.6468
Ag Pb
2 1
direct
0.0000 0.5000 0.0000
0.5000 0.0000 0.0000
0.0000 0.0000 0.5000
```

Calculated values
* DFT formation energy: 0.22 eV/atom
* symmetry: No. 123


## Cs2ReIr (PBE-GGA)

Data for Cs2ReIr after structural relaxation.

```
Cs2ReIr
1.0
0.0000 4.1510 4.1510
4.1510 0.0000 4.1510
4.1510 4.1510 0.0000
Cs Re Ir
2 1 1
direct
0.2500 0.2500 0.2500
0.7500 0.7500 0.7500
0.0000 0.0000 0.0000
0.5000 0.5000 0.5000
```

Calculated values
* DFT formation energy: 2.36 eV/atom
* symmetry: No. 225